# 1
Density functional theory data (GGA-PBE) for CuTeBr after structural relaxation.

Values from the calculation:
Formation energy from raw total energies (meV per atom): -171
Space group: P1, No. 1
DOS at the Fermi energy (states/eV/f.u.): 1.00

a = 3.6710 Å, b = 7.2828 Å, c = 7.7583 Å
α = 65.77°, β = 76.41°, γ = 75.84°
With the nearest neighbours (Å) after each atom.
Element x y z (fractional)
Cu1 0.0000 0.0000 0.0000  2 Br 2.46, 2 Te 2.63
Cu2 0.1442 0.2240 0.4862  2 Br 2.47, 2 Te 2.63
Te1 0.3953 0.2843 0.9335  2 Cu 2.63, 1 Te 2.71
Te2 0.5001 0.4606 0.5459  2 Cu 2.63, 1 Te 2.71
Br1 0.5950 0.7530 0.0493  2 Cu 2.46
Br2 0.7725 0.0233 0.4237  2 Cu 2.47

# 2
Density functional theory data (GGA-PBE) for Dy5Mg4Tl after structural relaxation.

Values from the calculation:
Energy of formation (eV/atom): -0.139
Space group: P4/mmm, No. 123
DOS at the Fermi energy (states/eV/f.u.): 12.21

a = 3.7908 Å, b = 3.7908 Å, c = 18.9029 Å
α = 90.00°, β = 90.00°, γ = 90.00°
With the nearest neighbours (Å) after each atom.
Element x y z (fractional)
Dy1 0.0000 0.0000 0.0000  8 Mg 3.28
Dy2 0.0000 0.0000 0.2001  8 Mg 3.25-3.28
Dy3 0.0000 0.0000 0.3980  4 Mg 3.29, 4 Tl 3.30
Dy4 0.0000 0.0000 0.6020  4 Mg 3.29, 4 Tl 3.30
Dy5 0.0000 0.0000 0.7999  8 Mg 3.25-3.28
Mg1 0.5000 0.5000 0.1001  8 Dy 3.28
Mg2 0.5000 0.5000 0.2975  8 Dy 3.25-3.29
Mg3 0.5000 0.5000 0.7025  8 Dy 3.25-3.29
Mg4 0.5000 0.5000 0.8999  8 Dy 3.28
Tl1 0.5000 0.5000 0.5000  8 Dy 3.30